1.
Density functional theory data (PBE) for crystalline Pm4In2AgHg at its relaxed geometry.

## Properties
As for the total magnetization: 1.48 μB/cell. The value obtained for the energy relative to the elements is -423 meV/atom.

Lattice parameters (Å, degrees): 5.404 5.404 9.379 73.26 73.26 60.00
Site moments in Bohr magnetons follow the coordinates.
Atoms (fractional coordinates):
Pm1 0.376 0.376 0.872  0.18
Pm2 0.874 0.874 0.378  0.18
Pm3 0.126 0.126 0.622  0.18
Pm4 0.624 0.624 0.128  0.18
In1 0.750 0.750 0.749  0.00
In2 0.250 0.250 0.251  0.00
Ag1 0.500 0.500 0.500  0.03
Hg1 0.000 0.000 0.000  0.02



2.
Density functional theory data (PBE) for crystalline Pm4InAgHg2 at its relaxed geometry.

## Properties
As for the total magnetization: 1.33 μB/cell. The value obtained for the energy relative to the elements is -416 meV/atom.

Lattice parameters (Å, degrees): 5.371 5.371 9.333 73.28 73.28 60.00
Site moments in Bohr magnetons follow the coordinates.
Atoms (fractional coordinates):
Pm1 0.378 0.378 0.867  0.14
Pm2 0.873 0.873 0.382  0.19
Pm3 0.127 0.127 0.618  0.19
Pm4 0.622 0.622 0.133  0.14
In1 0.000 0.000 0.000  0.01
Ag1 0.500 0.500 0.500  0.02
Hg1 0.748 0.748 0.756  0.02
Hg2 0.252 0.252 0.244  0.02



What is the energy relative to the elements in the second record? -416 meV/atom



energy relative to the elements of number 2 (Pm4InAgHg2)? -416 meV/atom



Which value of energy relative to the elements does entry 1 give? -423 meV/atom



total magnetization of number 2 (Pm4InAgHg2)? 1.33 μB/cell